Density functional theory data (PBE) for a relaxed structure of La3Tl.

Summary:
For the theoretical density, the calculation gives 7.92 g cm⁻³. The energy above the most stable polymorph in this dataset comes out at 0.081 eV/f.u. The magnetic moment comes out at 0.0 μB per cell. As for the space group: Pmmn, No. 59. The calculation puts the calculated formation energy at -223 meV/atom.

abc: 6.3244 7.0468 17.5308
angles: 90.00 90.00 90.00
Sites, in units of the cell vectors:
La 0.3418 0.2500 0.5796
Tl 0.6553 0.2500 0.0820
Tl 0.0246 0.2500 0.7500
La 0.5301 0.5007 0.7500
La 0.8438 0.5003 0.5847
La 0.1562 0.4997 0.0847
La 0.3418 0.2500 0.9204
Tl 0.6553 0.2500 0.4180
Tl 0.9754 0.7500 0.2500
La 0.6582 0.7500 0.4204
La 0.4699 0.0007 0.2500
La 0.1562 0.0003 0.0847
La 0.4699 0.4993 0.2500
La 0.9386 0.2500 0.2500
Tl 0.3447 0.7500 0.5820
La 0.8438 0.9997 0.9153
La 0.1562 0.4997 0.4153
La 0.1562 0.0003 0.4153
La 0.8438 0.9997 0.5847
La 0.5301 0.9993 0.7500
La 0.8438 0.5003 0.9153
Tl 0.3447 0.7500 0.9180
La 0.0614 0.7500 0.7500
La 0.6582 0.7500 0.0796

Density functional theory data (PBE) for a relaxed structure of AlGe2W2.

Summary:
For the theoretical density, the calculation gives 10.85 g cm⁻³. The magnetic moment comes out at 0.0 μB per cell. As for the space group: P4/mbm, No. 127. The calculation puts the calculated formation energy at 268 meV/atom.

abc: 6.9825 6.9825 3.3905
angles: 90.00 90.00 90.00
Sites, in units of the cell vectors:
Al 0.0000 0.0000 0.0000
Al 0.5000 0.5000 0.0000
W 0.1443 0.3557 0.0000
W 0.8557 0.6443 0.0000
Ge 0.1510 0.6510 0.5000
W 0.6443 0.1443 0.0000
Ge 0.3490 0.1510 0.5000
Ge 0.6510 0.8490 0.5000
Ge 0.8490 0.3490 0.5000
W 0.3557 0.8557 0.0000

Density functional theory data (PBE) for a relaxed structure of Sc2AgRu.

Summary:
For the theoretical density, the calculation gives 6.49 g cm⁻³. The magnetic moment comes out at 0.0 μB per cell. As for the space group: Pmm2, No. 25. The calculation puts the calculated formation energy at -177 meV/atom.

abc: 3.2355 4.1419 5.7042
angles: 90.00 90.00 90.00
Sites, in units of the cell vectors:
Sc 0.5000 0.5000 0.2746
Ag 0.0000 0.0000 0.4721
Ru 0.5000 0.5000 0.8113
Sc 0.0000 0.0000 0.9419

Density functional theory data (PBE) for a relaxed structure of Tb2MgAg4.

Summary:
For the theoretical density, the calculation gives 7.56 g cm⁻³. The magnetic moment comes out at 0.0 μB per cell. As for the space group: R-3m, No. 166. The calculation puts the calculated formation energy at -105 meV/atom.

abc: 4.6794 4.6794 9.3550
angles: 75.52 75.52 60.00
Sites, in units of the cell vectors:
Ag 0.3614 0.3614 0.9158
Ag 0.8630 0.8630 0.4111
Ag 0.6386 0.6386 0.0842
Mg 0.0000 0.0000 0.0000
Tb 0.7507 0.7507 0.7480
Tb 0.2493 0.2493 0.2520
Ag 0.1370 0.1370 0.5889

Density functional theory data (PBE) for a relaxed structure of K5Re.

Summary:
For the theoretical density, the calculation gives 2.07 g cm⁻³. The energy above the most stable polymorph in this dataset comes out at 0.000 eV/f.u. The magnetic moment comes out at 3.9 μB per cell. As for the space group: Cmmm, No. 65. The calculation puts the calculated formation energy at 1018 meV/atom.

abc: 9.1288 9.1288 5.9854
angles: 90.00 90.00 142.04
Site moments in Bohr magnetons follow the coordinates.
Sites, in units of the cell vectors:
K 0.6452 0.3548 0.5000  0.00
Re 0.5000 0.5000 0.0000  3.15
K 0.0000 0.0000 0.5000  0.00
K 0.8543 0.1457 0.0000  0.00
K 0.1457 0.8543 0.0000  0.00
K 0.3548 0.6452 0.5000  0.00

Density functional theory data (PBE) for a relaxed structure of NdMgIrO6.

Summary:
The calculation puts the formation energy from raw total energies at -1677 meV/atom. For the theoretical density, the calculation gives 6.72 g cm⁻³. The magnetic moment comes out at 0.0 μB per cell. As for the space group: P-31c, No. 163.

abc: 5.5640 5.5640 8.4212
angles: 90.00 90.00 120.00
Sites, in units of the cell vectors:
O 0.6923 0.6316 0.1201
O 0.0607 0.3684 0.6201
O 0.3077 0.3684 0.8799
O 0.0607 0.6923 0.8799
Mg 0.0000 0.0000 0.0000
Nd 0.6667 0.3333 0.7500
Mg 0.0000 0.0000 0.5000
Ir 0.3333 0.6667 0.7500
Ir 0.6667 0.3333 0.2500
O 0.3684 0.0607 0.1201
O 0.3077 0.9393 0.6201
O 0.9393 0.6316 0.3799
Nd 0.3333 0.6667 0.2500
O 0.9393 0.3077 0.1201
O 0.6316 0.6923 0.6201
O 0.3684 0.3077 0.3799
O 0.6923 0.0607 0.3799
O 0.6316 0.9393 0.8799

Density functional theory data (PBE) for a relaxed structure of SmHo2As.

Summary:
For the theoretical density, the calculation gives 7.65 g cm⁻³. The magnetic moment comes out at 0.0 μB per cell. As for the space group: R-3m, No. 166. The calculation puts the calculated formation energy at -605 meV/atom.

abc: 3.8384 3.8384 9.6999
angles: 78.59 78.59 60.00
Sites, in units of the cell vectors:
Ho 0.7277 0.7277 0.8168
Ho 0.2723 0.2723 0.1832
Sm 0.5000 0.5000 0.5000
As 0.0000 0.0000 0.0000

Density functional theory data (PBE) for a relaxed structure of Y2In2Te.

Summary:
The calculation puts the formation energy from raw total energies at -623 meV/atom. For the theoretical density, the calculation gives 5.99 g cm⁻³. The energy above the most stable polymorph in this dataset comes out at 0.000 eV/f.u. The magnetic moment comes out at 0.0 μB per cell. As for the space group: P4/mbm, No. 127.

abc: 7.9184 7.9184 4.7323
angles: 90.00 90.00 90.00
Sites, in units of the cell vectors:
Y 0.8371 0.6629 0.0000
In 0.3626 0.1374 0.5000
Y 0.3371 0.8371 0.0000
Y 0.6629 0.1629 0.0000
Te 0.5000 0.5000 0.0000
In 0.1374 0.6374 0.5000
Y 0.1629 0.3371 0.0000
In 0.8626 0.3626 0.5000
In 0.6374 0.8626 0.5000
Te 0.0000 0.0000 0.0000

Density functional theory data (PBE) for a relaxed structure of YCd2Pd.

Summary:
For the theoretical density, the calculation gives 8.28 g cm⁻³. The magnetic moment comes out at 0.0 μB per cell. As for the space group: Fm-3m, No. 225. The calculation puts the calculated formation energy at -391 meV/atom.

abc: 4.9201 4.9201 4.9201
angles: 60.00 60.00 60.00
Sites, in units of the cell vectors:
Cd 0.2500 0.2500 0.2500
Pd 0.5000 0.5000 0.5000
Cd 0.7500 0.7500 0.7500
Y 0.0000 0.0000 0.0000

Density functional theory data (PBE) for a relaxed structure of MnCuAsRu.

Summary:
For the theoretical density, the calculation gives 9.15 g cm⁻³. The magnetic moment comes out at 2.8 μB per cell. As for the space group: F-43m, No. 216. The calculation puts the calculated formation energy at 45 meV/atom.

abc: 4.2279 4.2279 4.2279
angles: 60.00 60.00 60.00
Site moments in Bohr magnetons follow the coordinates.
Sites, in units of the cell vectors:
Ru 0.2500 0.2500 0.2500  -0.09
Cu 0.0000 0.0000 0.0000  0.07
Mn 0.7500 0.7500 0.7500  2.90
As 0.5000 0.5000 0.5000  -0.08

Density functional theory data (PBE) for a relaxed structure of Cs2NaCrRh.

Summary:
For the theoretical density, the calculation gives 3.05 g cm⁻³. The magnetic moment comes out at 4.0 μB per cell. As for the space group: P4/mmm, No. 123. The calculation puts the calculated formation energy at 716 meV/atom.

abc: 7.2645 4.5721 7.2645
angles: 90.00 90.00 90.00
Site moments in Bohr magnetons follow the coordinates.
Sites, in units of the cell vectors:
Cs 0.0000 0.0000 0.5000  0.02
Na 0.5000 0.5000 0.5000  0.00
Cs 0.5000 0.0000 0.0000  0.02
Rh 0.0000 0.5000 0.0000  -0.20
Cr 0.0000 0.0000 0.0000  3.44

Density functional theory data (PBE) for a relaxed structure of Zr4CdNi.

Summary:
For the theoretical density, the calculation gives 7.14 g cm⁻³. The energy above the most stable polymorph in this dataset comes out at 0.000 eV/f.u. The magnetic moment comes out at 0.0 μB per cell. As for the space group: P4/mmm, No. 123. The calculation puts the calculated formation energy at -194 meV/atom.

abc: 3.2098 3.2098 12.1028
angles: 90.00 90.00 90.00
Sites, in units of the cell vectors:
Ni 0.5000 0.5000 0.5000
Zr 0.5000 0.5000 0.8155
Zr 0.0000 0.0000 0.3647
Zr 0.0000 0.0000 0.6353
Zr 0.5000 0.5000 0.1845
Cd 0.0000 0.0000 0.0000